This record from Alexandria describes a geometry-optimized CaLaCrSnO6 structure. The functional is PBE with a Hubbard U.

Cell and atoms, written as POSCAR:
```
CaLaCrSnO6
1.0
0.000 4.051 4.051
4.051 0.000 4.051
4.051 4.051 0.000
Ca La Cr Sn O
1 1 1 1 6
direct
0.000 0.000 0.000
0.750 0.750 0.750
0.500 0.500 0.500
0.250 0.250 0.250
0.270 0.730 0.270
0.730 0.270 0.730
0.270 0.730 0.730
0.730 0.270 0.270
0.270 0.270 0.730
0.730 0.730 0.270
```

Output
Space group = No. 216
Relative energy among the computed polymorphs = 554 meV per atom
Calculated total energy = -6.760 eV/atom